A relaxed structure of Nd2ErIr. Source: the Alexandria database, functional GGA-PBE.

Values from the calculation:
Formation enthalpy at 0 K = -16 meV per atom
Energy relative to the lowest polymorph listed for this composition = 387 meV per atom

a b c (Å): 3.801 3.801 10.891
angles (deg): 79.95 79.95 60.00
Atoms (fractional coordinates):
Ir  0.500  0.500  0.500
Er  0.000  0.000  0.000
Nd  0.889  0.889  0.334
Nd  0.111  0.111  0.666